Entry 1:
Density functional theory data (GGA-PBE) for Sm4GeSb2Te after structural relaxation.

crystal system = monoclinic
E_tot = -5.534 eV/atom
ρ = 7.1 Mg/m³
D(E_F) = 0.179 states/eV/atom
spin magnetization = 0.000 μB/atom
space group = No. 10

Cell lengths 7.6403, 4.3959, 7.6648 Å; angles 90.00, 109.18, 90.00 degrees
Fractional positions:
Sm 0.2401 0.0000 0.2367
Sm 0.2474 0.5000 0.7632
Sm 0.7526 0.5000 0.2368
Sm 0.7599 0.0000 0.7633
Ge 0.0000 0.5000 0.0000
Sb 0.5000 0.0000 0.0000
Sb 0.5000 0.5000 0.5000
Te 0.0000 0.0000 0.5000

***

Entry 2:
Density functional theory data (GGA-PBE) for Sm8GeSb3Te4 after structural relaxation.

crystal system = trigonal
E_tot = -5.513 eV/atom
ρ = 7.2 Mg/m³
D(E_F) = 0.402 states/eV/atom
spin magnetization = 0.000 μB/atom
space group = No. 166

Cell lengths 8.9031, 8.9031, 8.9031 Å; angles 59.76, 59.76, 59.76 degrees
Fractional positions:
Sm 0.2466 0.2466 0.2466
Sm 0.2566 0.7376 0.7376
Sm 0.2624 0.2624 0.7434
Sm 0.2624 0.7434 0.2624
Sm 0.7376 0.2566 0.7376
Sm 0.7376 0.7376 0.2566
Sm 0.7434 0.2624 0.2624
Sm 0.7534 0.7534 0.7534
Ge 0.5000 0.5000 0.5000
Sb 0.0000 0.0000 0.5000
Sb 0.0000 0.5000 0.0000
Sb 0.5000 0.0000 0.0000
Te 0.0000 0.0000 0.0000
Te 0.0000 0.5000 0.5000
Te 0.5000 0.0000 0.5000
Te 0.5000 0.5000 0.0000

***

Entry 3:
Density functional theory data (GGA-PBE) for Sm6GeSb2Te3 after structural relaxation.

crystal system = monoclinic
E_tot = -5.517 eV/atom
ρ = 7.2 Mg/m³
D(E_F) = 0.347 states/eV/atom
spin magnetization = 0.000 μB/atom
space group = No. 12

Cell lengths 9.9355, 9.9355, 8.8991 Å; angles 103.22, 103.22, 25.68 degrees
Fractional positions:
Sm 0.0005 0.0005 0.2271
Sm 0.3324 0.3324 0.4224
Sm 0.3441 0.3441 0.9176
Sm 0.6559 0.6559 0.0824
Sm 0.6676 0.6676 0.5776
Sm 0.9995 0.9995 0.7729
Ge 0.5000 0.5000 0.0000
Sb 0.1665 0.1665 0.3329
Sb 0.8335 0.8335 0.6671
Te 0.1697 0.1697 0.8346
Te 0.5000 0.5000 0.5000
Te 0.8303 0.8303 0.1654

***

Entry 4:
Density functional theory data (GGA-PBE) for Sm8Ge3SbTe4 after structural relaxation.

crystal system = trigonal
E_tot = -5.522 eV/atom
ρ = 7.1 Mg/m³
D(E_F) = 0.237 states/eV/atom
spin magnetization = 0.000 μB/atom
space group = No. 166

Cell lengths 8.8328, 8.8328, 8.8328 Å; angles 59.27, 59.27, 59.27 degrees
Fractional positions:
Sm 0.2319 0.7476 0.7476
Sm 0.2411 0.2411 0.2411
Sm 0.2524 0.2524 0.7681
Sm 0.2524 0.7681 0.2524
Sm 0.7476 0.2319 0.7476
Sm 0.7476 0.7476 0.2319
Sm 0.7589 0.7589 0.7589
Sm 0.7681 0.2524 0.2524
Ge 0.0000 0.0000 0.5000
Ge 0.0000 0.5000 0.0000
Ge 0.5000 0.0000 0.0000
Sb 0.5000 0.5000 0.5000
Te 0.0000 0.0000 0.0000
Te 0.0000 0.5000 0.5000
Te 0.5000 0.0000 0.5000
Te 0.5000 0.5000 0.0000

***

Entry 5:
Density functional theory data (GGA-PBE) for Sm6Ge2SbTe3 after structural relaxation.

crystal system = monoclinic
E_tot = -5.525 eV/atom
ρ = 7.1 Mg/m³
D(E_F) = 0.200 states/eV/atom
spin magnetization = 0.000 μB/atom
space group = No. 12

Cell lengths 9.8547, 9.8547, 8.8608 Å; angles 103.47, 103.47, 25.64 degrees
Fractional positions:
Sm 0.0098 0.0098 0.2505
Sm 0.3269 0.3269 0.4312
Sm 0.3326 0.3326 0.8936
Sm 0.6674 0.6674 0.1064
Sm 0.6731 0.6731 0.5688
Sm 0.9902 0.9902 0.7495
Ge 0.1678 0.1678 0.3349
Ge 0.8322 0.8322 0.6651
Sb 0.5000 0.5000 0.0000
Te 0.1636 0.1636 0.8336
Te 0.5000 0.5000 0.5000
Te 0.8364 0.8364 0.1664

***

Entry 6:
Density functional theory data (GGA-PBE) for SnGeSb2 after structural relaxation.

crystal system = cubic
E_tot = -3.989 eV/atom
ρ = 7.1 Mg/m³
D(E_F) = 0.539 states/eV/atom
spin magnetization = 0.000 μB/atom
space group = No. 225
E above lowest polymorph = 140 meV/atom

Cell lengths 5.2278, 5.2278, 5.2278 Å; angles 60.00, 60.00, 60.00 degrees
Fractional positions:
Sn 0.0000 0.0000 0.0000
Ge 0.5000 0.5000 0.5000
Sb 0.2500 0.2500 0.2500
Sb 0.7500 0.7500 0.7500

***

Entry 7:
Density functional theory data (GGA-PBE) for SnGe2Sb after structural relaxation.

crystal system = cubic
E_tot = -4.089 eV/atom
ρ = 6.9 Mg/m³
D(E_F) = 0.422 states/eV/atom
spin magnetization = 0.000 μB/atom
space group = No. 225
E above lowest polymorph = 75 meV/atom

Cell lengths 5.0842, 5.0842, 5.0842 Å; angles 60.00, 60.00, 60.00 degrees
Fractional positions:
Sn 0.0000 0.0000 0.0000
Ge 0.2500 0.2500 0.2500
Ge 0.7500 0.7500 0.7500
Sb 0.5000 0.5000 0.5000

***

Entry 8:
Density functional theory data (GGA-PBE) for Sn12Ge3Sb5 after structural relaxation.

crystal system = cubic
E_tot = -3.912 eV/atom
ρ = 5.5 Mg/m³
D(E_F) = 0.448 states/eV/atom
spin magnetization = 0.000 μB/atom
space group = No. 230

Cell lengths 15.2629, 15.2629, 15.2629 Å; angles 109.47, 109.47, 109.47 degrees
Fractional positions:
Sn 0.0664 0.2272 0.1569
Sn 0.0664 0.3393 0.9095
Sn 0.0703 0.7272 0.6607
Sn 0.0703 0.8431 0.4095
Sn 0.0905 0.6569 0.4297
Sn 0.0905 0.9336 0.6607
Sn 0.1569 0.0664 0.2272
Sn 0.1569 0.5905 0.9297
Sn 0.1607 0.2272 0.5703
Sn 0.1607 0.4336 0.5905
Sn 0.2272 0.1569 0.0664
Sn 0.2272 0.5703 0.1607
Sn 0.2728 0.3393 0.9297
Sn 0.2728 0.4336 0.3431
Sn 0.3393 0.9095 0.0664
Sn 0.3393 0.9297 0.2728
Sn 0.3431 0.2728 0.4336
Sn 0.3431 0.5703 0.9095
Sn 0.4095 0.0703 0.8431
Sn 0.4095 0.8393 0.5664
Sn 0.4297 0.0905 0.6569
Sn 0.4297 0.8393 0.7728
Sn 0.4336 0.3431 0.2728
Sn 0.4336 0.5905 0.1607
Sn 0.5664 0.4095 0.8393
Sn 0.5664 0.6569 0.7272
Sn 0.5703 0.1607 0.2272
Sn 0.5703 0.9095 0.3431
Sn 0.5905 0.1607 0.4336
Sn 0.5905 0.9297 0.1569
Sn 0.6569 0.4297 0.0905
Sn 0.6569 0.7272 0.5664
Sn 0.6607 0.0703 0.7272
Sn 0.6607 0.0905 0.9336
Sn 0.7272 0.5664 0.6569
Sn 0.7272 0.6607 0.0703
Sn 0.7728 0.4297 0.8393
Sn 0.7728 0.8431 0.9336
Sn 0.8393 0.5664 0.4095
Sn 0.8393 0.7728 0.4297
Sn 0.8431 0.4095 0.0703
Sn 0.8431 0.9336 0.7728
Sn 0.9095 0.0664 0.3393
Sn 0.9095 0.3431 0.5703
Sn 0.9297 0.1569 0.5905
Sn 0.9297 0.2728 0.3393
Sn 0.9336 0.6607 0.0905
Sn 0.9336 0.7728 0.8431
Ge 0.1250 0.2500 0.3750
Ge 0.1250 0.3750 0.7500
Ge 0.2500 0.3750 0.1250
Ge 0.2500 0.8750 0.6250
Ge 0.3750 0.1250 0.2500
Ge 0.3750 0.7500 0.1250
Ge 0.6250 0.2500 0.8750
Ge 0.6250 0.8750 0.7500
Ge 0.7500 0.1250 0.3750
Ge 0.7500 0.6250 0.8750
Ge 0.8750 0.6250 0.2500
Ge 0.8750 0.7500 0.6250
Sb 0.0000 0.0000 0.0000
Sb 0.0000 0.0000 0.5000
Sb 0.0000 0.5000 0.0000
Sb 0.0000 0.5000 0.5000
Sb 0.1250 0.7500 0.8750
Sb 0.1250 0.8750 0.2500
Sb 0.2500 0.1250 0.8750
Sb 0.2500 0.6250 0.3750
Sb 0.3750 0.2500 0.6250
Sb 0.3750 0.6250 0.7500
Sb 0.5000 0.0000 0.0000
Sb 0.5000 0.0000 0.5000
Sb 0.5000 0.5000 0.0000
Sb 0.5000 0.5000 0.5000
Sb 0.6250 0.3750 0.2500
Sb 0.6250 0.7500 0.3750
Sb 0.7500 0.3750 0.6250
Sb 0.7500 0.8750 0.1250
Sb 0.8750 0.1250 0.7500
Sb 0.8750 0.2500 0.1250

***

Entry 9:
Density functional theory data (GGA-PBE) for SnGe3Sb after structural relaxation.

crystal system = cubic
E_tot = -3.559 eV/atom
ρ = 5.0 Mg/m³
D(E_F) = 0.923 states/eV/atom
spin magnetization = 0.000 μB/atom
space group = No. 221

Cell lengths 5.3342, 5.3342, 5.3342 Å; angles 90.00, 90.00, 90.00 degrees
Fractional positions:
Sn 0.0000 0.0000 0.0000
Ge 0.0000 0.5000 0.5000
Ge 0.5000 0.0000 0.5000
Ge 0.5000 0.5000 0.0000
Sb 0.5000 0.5000 0.5000

***

Entry 10:
Density functional theory data (GGA-PBE) for Sn5GeSb4 after structural relaxation.

crystal system = tetragonal
E_tot = -4.054 eV/atom
ρ = 6.7 Mg/m³
D(E_F) = 0.571 states/eV/atom
spin magnetization = 0.000 μB/atom
space group = No. 139

Cell lengths 15.5390, 15.5390, 15.5390 Å; angles 163.97, 163.97, 22.75 degrees
Fractional positions:
Sn 0.0000 0.0000 0.0000
Sn 0.2017 0.2017 0.0000
Sn 0.4049 0.4049 0.0000
Sn 0.5951 0.5951 0.0000
Sn 0.7983 0.7983 0.0000
Ge 0.5000 0.5000 0.0000
Sb 0.1009 0.1009 0.0000
Sb 0.3025 0.3025 0.0000
Sb 0.6975 0.6975 0.0000
Sb 0.8991 0.8991 0.0000

***

> Which value of D(E_F) does entry 2 give?

0.402 states/eV/atom